[1]
DFT (PBE) results for a relaxed RbCuAsF6 crystal.

Cell lengths 5.528, 5.543, 5.813 Å; angles 90.03, 114.86, 90.40 degrees
Space group P1 (No. 1)
Unique sites:
Rb 0.000 0.000 0.000
Cu 0.660 0.464 0.321
As 0.316 0.478 0.669
F 0.370 0.308 0.396
F 0.386 0.630 0.043
F 0.486 0.222 0.870
F 0.627 0.637 0.705
F 0.922 0.248 0.542
F 0.932 0.650 0.296

Crystal system = triclinic
Uncorrected energy = -0.1620 hartree per atom
Uncorrected formation energy = -2.0821 eV/atom

[2]
DFT (PBE) results for a relaxed FePAu2 crystal.

Cell lengths 4.189, 4.189, 7.347 Å; angles 90.00, 90.00, 90.00 degrees
Space group I-4m2 (No. 119)
Unique sites:
Fe 0.000 0.000 0.000
P 0.000 0.500 0.750
Au 0.000 0.000 0.500
Au 0.000 0.500 0.250

Crystal system = tetragonal
Uncorrected energy = -0.1734 hartree per atom
Formation energy from the elements = 388 meV/atom
DOS(E_F) = 1.01 states/eV/atom

[3]
DFT (PBE) results for a relaxed Ba2NpAu2Se6 crystal.

Cell lengths 7.9410, 7.9410, 19.0145 Å; angles 90.00, 90.00, 120.00 degrees
Space group R-3m (No. 166, hexagonal axes)
Unique sites:
Ba 0.0000 0.0000 0.2318
Np 0.0000 0.0000 0.0000
Au 0.0000 0.0000 0.4162
Se 0.0307 0.5153 0.7569

Crystal system = trigonal
Uncorrected energy = -0.1810 hartree per atom
DOS(E_F) = 0.87 states/eV/atom
Uncorrected formation energy = -0.9030 eV/atom

[4]
DFT (PBE) results for a relaxed CdCuNiAg crystal.

Cell lengths 6.242, 6.242, 6.242 Å; angles 90.00, 90.00, 90.00 degrees
Space group F-43m (No. 216)
Unique sites:
Cd 0.000 0.000 0.000
Cu 0.250 0.250 0.750
Ni 0.250 0.250 0.250
Ag 0.000 0.000 0.500

Crystal system = cubic
Uncorrected energy = -0.1207 hartree per atom
Formation energy from the elements = 126 meV/atom
DOS(E_F) = 0.49 states/eV/atom

[5]
DFT (PBE) results for a relaxed CeGdCdPb crystal.

Cell lengths 7.714, 7.714, 7.714 Å; angles 90.00, 90.00, 90.00 degrees
Space group F-43m (No. 216)
Unique sites:
Ce 0.000 0.000 0.000
Gd 0.000 0.000 0.500
Cd 0.250 0.250 0.750
Pb 0.250 0.250 0.250

Crystal system = cubic
Uncorrected energy = -0.2391 hartree per atom
Formation energy from the elements = -345 meV/atom
DOS(E_F) = 2.87 states/eV/atom

[6]
DFT (PBE) results for a relaxed Li2Ca2PmCd5 crystal.

Cell lengths 10.925, 10.925, 4.125 Å; angles 90.00, 90.00, 90.00 degrees
Space group P4/mbm (No. 127)
Unique sites:
Li 0.116 0.384 0.000
Ca 0.181 0.681 0.000
Pm 0.000 0.000 0.000
Cd 0.000 0.500 0.500
Cd 0.061 0.218 0.500

Crystal system = tetragonal
Uncorrected energy = -0.0737 hartree per atom
Formation energy from the elements = -289 meV/atom
DOS(E_F) = 0.61 states/eV/atom

[7]
DFT (PBE) results for a relaxed ZnPS2 crystal.

Cell lengths 3.6072, 3.6072, 21.2188 Å; angles 90.00, 90.00, 120.00 degrees
Space group R-3m (No. 166, hexagonal axes)
Unique sites:
Zn 0.0000 0.0000 0.0000
P 0.0000 0.0000 0.5000
S 0.0000 0.0000 0.3970

Crystal system = trigonal
Uncorrected energy = -0.1325 hartree per atom
Energy above the most stable polymorph in this dataset = 6.92 kJ/mol of atoms
DOS(E_F) = 0.40 states/eV/atom
Uncorrected formation energy = 0.1294 eV/atom

[8]
DFT (PBE) results for a relaxed PtRh2N crystal.

Cell lengths 6.092, 6.092, 6.079 Å; angles 90.00, 90.00, 90.00 degrees
Space group I-42d (No. 122)
Unique sites:
Pt 0.000 0.000 0.000
Rh 0.145 0.750 0.625
N 0.000 0.000 0.500

Crystal system = tetragonal
Uncorrected energy = -0.2543 hartree per atom
DOS(E_F) = 0.87 states/eV/atom
Uncorrected formation energy = 0.3481 eV/atom

[9]
DFT (PBE) results for a relaxed Mn2Tc crystal.

Cell lengths 2.580, 2.580, 10.925 Å; angles 90.00, 90.00, 90.00 degrees
Space group I4/mmm (No. 139)
Unique sites:
Mn 0.000 0.000 0.179
Tc 0.000 0.000 0.500

Crystal system = tetragonal
Uncorrected energy = -0.3477 hartree per atom
Formation energy from the elements = 108 meV/atom
Energy above the most stable polymorph in this dataset = 18.31 kJ/mol of atoms
DOS(E_F) = 1.10 states/eV/atom

[10]
DFT (PBE) results for a relaxed KMg2Tc crystal.

Cell lengths 3.0686, 3.0686, 33.1029 Å; angles 90.00, 90.00, 120.00 degrees
Space group R-3m (No. 166, hexagonal axes)
Unique sites:
K 0.0000 0.0000 0.0000
Mg 0.0000 0.0000 0.2333
Tc 0.0000 0.0000 0.5000

Crystal system = trigonal
Uncorrected energy = -0.1142 hartree per atom
Formation energy from the elements = 555 meV/atom
Energy above the most stable polymorph in this dataset = 9.45 kJ/mol of atoms
DOS(E_F) = 0.79 states/eV/atom

[11]
DFT (PBE) results for a relaxed TaIn2BPb crystal.

Cell lengths 5.752, 5.752, 5.447 Å; angles 90.00, 90.00, 90.00 degrees
Space group P4/mmm (No. 123)
Unique sites:
Ta 0.000 0.000 0.000
In 0.000 0.500 0.500
B 0.500 0.500 0.000
Pb 0.000 0.000 0.500

Crystal system = tetragonal
Uncorrected energy = -0.1192 hartree per atom
Formation energy from the elements = 2300 meV/atom
Energy above the most stable polymorph in this dataset = 139.46 kJ/mol of atoms
DOS(E_F) = 1.02 states/eV/atom

[12]
DFT (PBE) results for a relaxed Ca2Ga2Au5 crystal.

Cell lengths 4.494, 4.494, 9.226 Å; angles 90.00, 90.00, 90.00 degrees
Space group P4/mmm (No. 123)
Unique sites:
Ca 0.000 0.000 0.000
Ca 0.000 0.000 0.500
Ga 0.500 0.500 0.136
Au 0.000 0.500 0.275
Au 0.500 0.500 0.500

Crystal system = tetragonal
Uncorrected energy = -0.1280 hartree per atom
Formation energy from the elements = -545 meV/atom
DOS(E_F) = 0.38 states/eV/atom

[13]
DFT (PBE) results for a relaxed Pa2CrRe crystal.

Cell lengths 6.840, 6.840, 6.840 Å; angles 90.00, 90.00, 90.00 degrees
Space group Fm-3m (No. 225)
Unique sites:
Pa 0.250 0.250 0.250
Cr 0.000 0.000 0.000
Re 0.000 0.000 0.500

Crystal system = cubic
Uncorrected energy = -0.3689 hartree per atom
Formation energy from the elements = 227 meV/atom
Energy above the most stable polymorph in this dataset = 0.00 kJ/mol of atoms
DOS(E_F) = 1.41 states/eV/atom

[14]
DFT (PBE) results for a relaxed HoPa4N5 crystal.

Cell lengths 7.803, 7.803, 4.932 Å; angles 90.00, 90.00, 90.00 degrees
Space group I4/m (No. 87)
Unique sites:
Ho 0.000 0.000 0.000
Pa 0.101 0.299 0.500
N 0.000 0.000 0.500
N 0.101 0.299 0.000

Crystal system = tetragonal
Uncorrected energy = -0.3700 hartree per atom
DOS(E_F) = 0.66 states/eV/atom
Uncorrected formation energy = -1.6493 eV/atom

[15]
DFT (PBE) results for a relaxed BaLiCd2Ir crystal.

Cell lengths 5.293, 5.293, 4.912 Å; angles 90.00, 90.00, 90.00 degrees
Space group P4/mmm (No. 123)
Unique sites:
Ba 0.000 0.000 0.000
Li 0.500 0.500 0.000
Cd 0.000 0.500 0.500
Ir 0.500 0.500 0.500

Crystal system = tetragonal
Uncorrected energy = -0.1104 hartree per atom
Formation energy from the elements = -97 meV/atom
DOS(E_F) = 0.45 states/eV/atom

[16]
DFT (PBE) results for a relaxed Al2O3 crystal.

Cell lengths 8.007, 7.994, 12.413 Å; angles 90.00, 107.65, 90.00 degrees
Space group C2/c (No. 15)
Unique sites:
Al 0.000 0.000 0.000
Al 0.000 0.124 0.250
Al 0.089 0.260 0.660
Al 0.165 0.486 0.342
Al 0.173 0.364 0.082
O 0.004 0.238 0.995
O 0.079 0.499 0.669
O 0.091 0.013 0.664
O 0.150 0.266 0.825
O 0.173 0.257 0.324
O 0.240 0.009 0.004

Crystal system = monoclinic
Uncorrected energy = -0.2737 hartree per atom
DOS(E_F) = 0.00 states/eV/atom
Uncorrected formation energy = -2.9765 eV/atom

[17]
DFT (PBE) results for a relaxed Ho2HfS5 crystal.

Cell lengths 11.536, 7.706, 7.238 Å; angles 90.00, 90.00, 90.00 degrees
Space group Pnma (No. 62)
Unique sites:
Ho 0.179 0.003 0.021
Hf 0.006 0.750 0.576
S 0.003 0.750 0.947
S 0.095 0.036 0.660
S 0.181 0.750 0.331
S 0.207 0.250 0.309

Crystal system = orthorhombic
Uncorrected energy = -0.2515 hartree per atom
Energy above the most stable polymorph in this dataset = 0.00 kJ/mol of atoms
Uncorrected formation energy = -1.8753 eV/atom

[18]
DFT (PBE) results for a relaxed Pr2TmZn3Pt4 crystal.

Cell lengths 4.192, 4.192, 11.687 Å; angles 90.00, 90.00, 90.00 degrees
Space group P-4m2 (No. 115)
Unique sites:
Pr 0.000 0.500 0.226
Tm 0.000 0.000 0.500
Zn 0.000 0.500 0.874
Zn 0.500 0.500 0.500
Pt 0.000 0.000 0.000
Pt 0.000 0.500 0.656
Pt 0.500 0.500 0.000

Crystal system = tetragonal
Uncorrected energy = -0.1854 hartree per atom
Formation energy from the elements = -844 meV/atom
DOS(E_F) = 0.41 states/eV/atom

[19]
DFT (PBE) results for a relaxed Co2MoOs crystal.

Cell lengths 5.959, 5.959, 5.959 Å; angles 90.00, 90.00, 90.00 degrees
Space group F-43m (No. 216)
Unique sites:
Co 0.000 0.000 0.000
Co 0.250 0.250 0.250
Mo 0.000 0.000 0.500
Os 0.250 0.250 0.750

Crystal system = cubic
Uncorrected energy = -0.3243 hartree per atom
Formation energy from the elements = 243 meV/atom
Energy above the most stable polymorph in this dataset = 23.56 kJ/mol of atoms
DOS(E_F) = 1.30 states/eV/atom

[20]
DFT (PBE) results for a relaxed RbTiS2 crystal.

Cell lengths 3.521, 7.096, 8.727 Å; angles 108.60, 90.00, 90.13 degrees
Space group P-1 (No. 2)
Unique sites:
Rb 0.248 0.183 0.313
Ti 0.249 0.380 0.853
S 0.251 0.689 0.349
S 0.251 0.727 0.988

Crystal system = triclinic
Uncorrected energy = -0.2057 hartree per atom
DOS(E_F) = 0.00 states/eV/atom
Uncorrected formation energy = -1.3172 eV/atom

[21]
DFT (PBE) results for a relaxed MgIr2Ru crystal.

Cell lengths 5.726, 5.726, 11.501 Å; angles 90.00, 90.00, 90.00 degrees
Space group I-42d (No. 122)
Unique sites:
Mg 0.000 0.000 0.000
Ir 0.210 0.250 0.625
Ru 0.000 0.000 0.500

Crystal system = tetragonal
Uncorrected energy = -0.2231 hartree per atom
Formation energy from the elements = 1078 meV/atom
DOS(E_F) = 0.89 states/eV/atom

[22]
DFT (PBE) results for a relaxed BaNa5H7 crystal.

Cell lengths 3.582, 11.244, 19.712 Å; angles 90.00, 90.00, 90.00 degrees
Space group Cmcm (No. 63)
Unique sites:
Ba 0.000 0.193 0.250
Na 0.000 0.000 0.000
Na 0.000 0.276 0.572
Na 0.000 0.452 0.144
H 0.000 0.091 0.114
H 0.000 0.192 0.674
H 0.000 0.365 0.034
H 0.000 0.476 0.750

Crystal system = orthorhombic
Uncorrected energy = -0.0994 hartree per atom
DOS(E_F) = 0.00 states/eV/atom